# 1
A relaxed Ca2YW crystal, computed with GGA-PBE.

a = 5.373 Å, b = 5.373 Å, c = 5.373 Å
α = 60.00°, β = 60.00°, γ = 60.00°
Element x y z (fractional)
Ca  0.250  0.250  0.250
Ca  0.750  0.750  0.750
Y  0.000  0.000  0.000
W  0.500  0.500  0.500

DOS(E_F)	6.181	states/eV per cell
calculated volume	27.42	Å³ per atom
energy above the most stable polymorph in this dataset	321	meV per atom
total moment	2.041	μB per formula unit
energy of formation	918	meV per atom

# 2
A relaxed Cs2Pm2PuO6 crystal, computed with GGA-PBE.

a = 6.220 Å, b = 6.220 Å, c = 7.345 Å
α = 98.03°, β = 98.03°, γ = 119.85°
Element x y z (fractional)
Cs  0.167  0.833  0.000
Cs  0.833  0.167  0.000
Pm  0.334  0.666  0.500
Pm  0.666  0.334  0.500
Pu  0.000  0.000  0.500
O  0.046  0.370  0.657
O  0.259  0.259  0.343
O  0.370  0.046  0.657
O  0.630  0.954  0.343
O  0.741  0.741  0.657
O  0.954  0.630  0.343

DOS(E_F)	1.847	states/eV per cell
calculated volume	21.52	Å³ per atom
energy relative to the elements, uncorrected	-2703	meV/atom
total moment	4.000	μB per formula unit

# 3
A relaxed CeInAg crystal, computed with GGA-PBE.

a = 7.241 Å, b = 7.241 Å, c = 7.241 Å
α = 43.27°, β = 43.27°, γ = 43.27°
Element x y z (fractional)
Ce  0.116  0.116  0.116
Ce  0.884  0.884  0.884
In  0.421  0.421  0.421
In  0.579  0.579  0.579
Ag  0.275  0.275  0.275
Ag  0.725  0.725  0.725

DOS(E_F)	13.114	states/eV per cell
calculated volume	26.96	Å³ per atom
total moment	1.098	μB per formula unit
energy of formation	-50	meV per atom

# 4
A relaxed ZnRhOF2 crystal, computed with GGA-PBE.

a = 4.345 Å, b = 4.345 Å, c = 3.746 Å
α = 90.00°, β = 90.00°, γ = 90.00°
Element x y z (fractional)
Zn  0.000  0.000  0.000
Rh  0.500  0.500  0.500
O  0.500  0.500  0.000
F  0.000  0.500  0.500
F  0.500  0.000  0.500

DOS(E_F)	4.118	states/eV per cell
calculated volume	14.14	Å³ per atom
energy above the most stable polymorph in this dataset	0	meV per atom
energy relative to the elements, uncorrected	-748	meV/atom
total moment	0.132	μB per formula unit

# 5
A relaxed CoPb2Cl crystal, computed with GGA-PBE.

a = 5.092 Å, b = 5.092 Å, c = 5.092 Å
α = 60.00°, β = 60.00°, γ = 60.00°
Element x y z (fractional)
Co  0.000  0.000  0.000
Pb  0.250  0.250  0.250
Pb  0.750  0.750  0.750
Cl  0.500  0.500  0.500

DOS(E_F)	7.002	states/eV per cell
calculated volume	23.34	Å³ per atom
energy above the most stable polymorph in this dataset	400	meV per atom
energy relative to the elements, uncorrected	381	meV/atom
total moment	1.265	μB per formula unit

# 6
A relaxed BeTe3C crystal, computed with GGA-PBE.

a = 4.750 Å, b = 4.750 Å, c = 4.750 Å
α = 90.00°, β = 90.00°, γ = 90.00°
Element x y z (fractional)
Be  0.000  0.000  0.000
Te  0.000  0.500  0.500
Te  0.500  0.000  0.500
Te  0.500  0.500  0.000
C  0.500  0.500  0.500

DOS(E_F)	2.650	states/eV per cell
calculated volume	21.43	Å³ per atom
energy above the most stable polymorph in this dataset	0	meV per atom
energy relative to the elements, uncorrected	1306	meV/atom
total moment	0.000	μB per formula unit

# 7
A relaxed ZrBeNi crystal, computed with GGA-PBE.

a = 3.938 Å, b = 3.938 Å, c = 3.160 Å
α = 90.00°, β = 90.00°, γ = 120.00°
Element x y z (fractional)
Zr  0.000  0.000  0.000
Be  0.667  0.333  0.500
Ni  0.333  0.667  0.500

DOS(E_F)	1.947	states/eV per cell
calculated volume	14.15	Å³ per atom
energy above the most stable polymorph in this dataset	50	meV per atom
total moment	0.000	μB per formula unit
energy of formation	-305	meV per atom

# 8
A relaxed K2PuTlS4 crystal, computed with GGA-PBE.

a = 7.333 Å, b = 4.125 Å, c = 7.678 Å
α = 90.00°, β = 108.55°, γ = 90.00°
Element x y z (fractional)
K  0.000  0.000  0.000
K  0.500  0.500  0.000
Pu  0.000  0.500  0.500
Tl  0.500  0.000  0.500
S  0.212  0.000  0.703
S  0.239  0.500  0.299
S  0.761  0.500  0.701
S  0.788  0.000  0.297

DOS(E_F)	9.741	states/eV per cell
calculated volume	27.52	Å³ per atom
energy relative to the elements, uncorrected	-1074	meV/atom
total moment	4.161	μB per formula unit